(1)
PBE InNi2Te, optimized geometry; volume = 69.1 Å³ per cell; calculated total energy = -4.19 eV per atom; energy above the lowest structure with this stoichiometry = 1.39 eV per formula unit
1.0
-1.903 1.903 4.772
1.903 -1.903 4.772
1.903 1.903 -4.772
In Ni Te
1 2 1
Direct
0.000 0.000 0.000
0.250 0.750 0.500
0.500 0.500 0.000
0.750 0.250 0.500

***

(2)
PBE In2Ni2Te, optimized geometry; volume = 188.1 Å³ per cell; calculated total energy = -4.01 eV per atom; energy above the lowest structure with this stoichiometry = 0.00 eV per formula unit
1.0
7.048 0.000 0.000
0.000 7.048 0.000
0.000 0.000 3.787
In Ni Te
4 4 2
Direct
0.157 0.343 0.000
0.343 0.843 0.000
0.657 0.157 0.000
0.843 0.657 0.000
0.135 0.635 0.500
0.365 0.135 0.500
0.635 0.865 0.500
0.865 0.365 0.500
0.000 0.000 0.500
0.500 0.500 0.500

***

(3)
PBE InNiTe2, optimized geometry; volume = 116.7 Å³ per cell; calculated total energy = -3.83 eV per atom
1.0
5.106 0.000 0.000
0.000 3.896 0.000
-1.483 0.000 5.865
In Ni Te
1 1 2
Direct
0.000 0.000 0.000
0.500 0.000 0.000
0.360 0.500 0.722
0.640 0.500 0.278

***

(4)
PBE In2NiTe, optimized geometry; volume = 94.0 Å³ per cell; calculated total energy = -3.64 eV per atom
1.0
4.153 0.000 0.000
0.000 3.617 0.000
-2.018 0.000 6.259
In Ni Te
2 1 1
Direct
0.000 0.000 0.000
0.329 0.500 0.666
0.787 0.000 0.582
0.635 0.500 0.275

***

(5)
PBE InNi2Te, optimized geometry; volume = 68.1 Å³ per cell; calculated total energy = -4.20 eV per atom; energy above the lowest structure with this stoichiometry = 1.36 eV per formula unit
1.0
0.000 3.242 3.242
3.242 0.000 3.242
3.242 3.242 0.000
In Ni Te
1 2 1
Direct
0.000 0.000 0.000
0.250 0.250 0.250
0.750 0.750 0.750
0.500 0.500 0.500

***

(6)
PBE InNi2Te, optimized geometry; volume = 67.5 Å³ per cell; calculated total energy = -4.25 eV per atom; energy above the lowest structure with this stoichiometry = 1.16 eV per formula unit
1.0
3.298 0.000 0.000
0.000 3.298 0.000
0.000 0.000 6.209
In Ni Te
1 2 1
Direct
0.000 0.000 0.000
0.500 0.500 0.237
0.500 0.500 0.763
0.000 0.000 0.500

***

Raw formation energy (computed, eV/atom): 0.1711, 0.0301, -0.1305, -0.0381, 0.1636, 0.1149